1.
CaHoH2: optimized geometry, PBE-GGA.

Properties
The crystal system is trigonal. The calculation puts the excess energy over the best structure of this formula in the dataset at 0.000 eV per atom.

Cell: 3.6244 3.6244 17.7260 Å, 90.00 90.00 120.00°
Space group R-3m (No. 166, hexagonal axes)
Unique sites:
Ca (0.0000, 0.0000, 0.0000) [3 per cell]
Ho (0.0000, 0.0000, 0.5000) [3 per cell]
H (0.0000, 0.0000, 0.2181) [6 per cell]

***

2.
ZnTc2AuF: optimized geometry, PBE-GGA.

Properties
The uncorrected formation energy is 0.560 eV per atom. The crystal system is tetragonal.

Cell: 4.1360 4.1360 4.4940 Å, 90.00 90.00 90.00°
Space group P4/mmm (No. 123)
Unique sites:
Zn (0.0000, 0.0000, 0.0000) [1 per cell]
Tc (0.0000, 0.5000, 0.5000) [2 per cell]
Au (0.5000, 0.5000, 0.0000) [1 per cell]
F (0.0000, 0.0000, 0.5000) [1 per cell]

***

3.
YCu2SnGe: optimized geometry, PBE-GGA.

Properties
The formation energy from the elements comes out at 0.357 eV/atom. The crystal system is tetragonal.

Cell: 4.7044 4.7044 5.4536 Å, 90.00 90.00 90.00°
Space group P4/mmm (No. 123)
Unique sites:
Y (0.0000, 0.0000, 0.0000) [1 per cell]
Cu (0.0000, 0.5000, 0.5000) [2 per cell]
Sn (0.5000, 0.5000, 0.5000) [1 per cell]
Ge (0.5000, 0.5000, 0.0000) [1 per cell]

***

4.
TlIn6GaPb2: optimized geometry, PBE-GGA.

Properties
The formation energy from the elements comes out at 0.084 eV/atom. The crystal system is monoclinic.

Cell: 7.1027 9.1951 10.7546 Å, 90.00 123.25 90.00°
Space group P2_1/c (No. 14)
Unique sites:
Tl (0.0000, 0.0000, 0.0000) [2 per cell]
In (0.2002, 0.1722, 0.7466) [4 per cell]
In (0.3367, 0.6882, 0.8859) [4 per cell]
In (0.4799, 0.5825, 0.2163) [4 per cell]
Ga (0.5000, 0.0000, 0.0000) [2 per cell]
Pb (0.0846, 0.1176, 0.4181) [4 per cell]

***

5.
YMn2Cr: optimized geometry, PBE-GGA.

Properties
The formation energy from the elements comes out at 0.199 eV/atom. The crystal system is trigonal. The calculation puts the excess energy over the best structure of this formula in the dataset at 0.000 eV per atom.

Cell: 4.0759 4.0759 14.9243 Å, 90.00 90.00 120.00°
Space group R-3m (No. 166, hexagonal axes)
Unique sites:
Y (0.0000, 0.0000, 0.0000) [3 per cell]
Mn (0.0000, 0.0000, 0.2032) [6 per cell]
Cr (0.0000, 0.0000, 0.5000) [3 per cell]

***

6.
Pm5HoIn4: optimized geometry, PBE-GGA.

Properties
The formation energy from the elements comes out at -0.377 eV/atom. The crystal system is tetragonal.

Cell: 3.5985 3.5985 22.7204 Å, 90.00 90.00 90.00°
Space group P4/mmm (No. 123)
Unique sites:
Pm (0.0000, 0.0000, 0.0000) [1 per cell]
Pm (0.0000, 0.0000, 0.1933) [2 per cell]
Pm (0.0000, 0.0000, 0.3856) [2 per cell]
Ho (0.5000, 0.5000, 0.5000) [1 per cell]
In (0.5000, 0.5000, 0.0968) [2 per cell]
In (0.5000, 0.5000, 0.2899) [2 per cell]

***

7.
CuAg2Ir: optimized geometry, PBE-GGA.

Properties
The formation energy from the elements comes out at 0.266 eV/atom. The crystal system is trigonal. The calculation puts the excess energy over the best structure of this formula in the dataset at 0.067 eV per atom.

Cell: 2.7712 2.7712 27.9793 Å, 90.00 90.00 120.00°
Space group R-3m (No. 166, hexagonal axes)
Unique sites:
Cu (0.0000, 0.0000, 0.0000) [3 per cell]
Ag (0.0000, 0.0000, 0.2535) [6 per cell]
Ir (0.0000, 0.0000, 0.5000) [3 per cell]

***

8.
NbIn2Si: optimized geometry, PBE-GGA.

Properties
The uncorrected formation energy is 0.497 eV per atom. The crystal system is tetragonal.

Cell: 7.8393 7.8393 5.5013 Å, 90.00 90.00 90.00°
Space group I-42d (No. 122)
Unique sites:
Nb (0.0000, 0.0000, 0.0000) [4 per cell]
In (0.2236, 0.7500, 0.6250) [8 per cell]
Si (0.0000, 0.0000, 0.5000) [4 per cell]

***

9.
Ti3CoS6: optimized geometry, PBE-GGA.

Properties
The uncorrected formation energy is -1.135 eV per atom. The crystal system is hexagonal.

Cell: 5.7644 5.7644 11.4383 Å, 90.00 90.00 120.00°
Space group P6_322 (No. 182)
Unique sites:
Ti (0.0000, 0.0000, 0.0000) [2 per cell]
Ti (0.3333, 0.6667, 0.0054) [4 per cell]
Co (0.3333, 0.6667, 0.7500) [2 per cell]
S (0.0111, 0.3413, 0.6318) [12 per cell]

***

10.
AcPrHo2As4: optimized geometry, PBE-GGA.

Properties
The formation energy from the elements comes out at -1.476 eV/atom. The crystal system is monoclinic.

Cell: 7.3869 4.2702 7.3976 Å, 90.00 109.45 90.00°
Space group P2/m (No. 10)
Unique sites:
Ac (0.0000, 0.0000, 0.0000) [1 per cell]
Pr (0.0000, 0.5000, 0.5000) [1 per cell]
Ho (0.5000, 0.0000, 0.5000) [1 per cell]
Ho (0.5000, 0.5000, 0.0000) [1 per cell]
As (0.2664, 0.0000, 0.7503) [2 per cell]
As (0.2706, 0.5000, 0.2622) [2 per cell]

***

11.
TcAgN2O: optimized geometry, PBE-GGA.

Properties
The uncorrected formation energy is 0.381 eV per atom. The crystal system is tetragonal.

Cell: 3.9011 3.9011 3.9439 Å, 90.00 90.00 90.00°
Space group P4/mmm (No. 123)
Unique sites:
Tc (0.0000, 0.0000, 0.0000) [1 per cell]
Ag (0.5000, 0.5000, 0.5000) [1 per cell]
N (0.0000, 0.5000, 0.0000) [2 per cell]
O (0.0000, 0.0000, 0.5000) [1 per cell]

***

12.
Ac5Ir2PtAu: optimized geometry, PBE-GGA.

Properties
The formation energy from the elements comes out at -0.597 eV/atom. The crystal system is orthorhombic.

Cell: 4.4208 18.4643 14.6059 Å, 90.00 90.00 90.00°
Space group Cmc2_1 (No. 36)
Unique sites:
Ac (0.0000, 0.0089, 0.0000) [4 per cell]
Ac (0.0000, 0.2946, 0.2233) [4 per cell]
Ac (0.0000, 0.3120, 0.5362) [4 per cell]
Ac (0.0000, 0.3384, 0.9390) [4 per cell]
Ac (0.0000, 0.4680, 0.7184) [4 per cell]
Ir (0.0000, 0.1211, 0.1516) [4 per cell]
Ir (0.0000, 0.1515, 0.5760) [4 per cell]
Pt (0.0000, 0.1821, 0.8788) [4 per cell]
Au (0.0000, 0.4242, 0.3740) [4 per cell]